A plane-wave DFT calculation with GGA-PBE was carried out for a geometry-optimized CrSb2TeMo structure.

## Properties
The density of states at the Fermi level comes out at 0.950 states/eV per atom. The polymorph energy (0 for the lowest one) is 0 kJ/mol of formula units. The calculation puts the uncorrected formation energy at 0.83 eV/atom.

Unit cell a=5.236 b=5.236 c=5.358 alpha=90.00 beta=90.00 gamma=90.00
Positions (direct):
Cr: 0.000 0.000 0.000
Sb: 0.000 0.500 0.500
Sb: 0.500 0.000 0.500
Te: 0.500 0.500 0.000
Mo: 0.500 0.500 0.500

A plane-wave DFT calculation with GGA-PBE was carried out for a geometry-optimized Rb12Pb3Cl5 structure.

## Properties
The density of states at the Fermi level comes out at 0.557 states/eV per atom. The calculation puts the uncorrected formation energy at -0.89 eV/atom.

Unit cell a=17.867 b=17.867 c=17.867 alpha=109.47 beta=109.47 gamma=109.47
Positions (direct):
Rb: 0.038 0.212 0.128
Rb: 0.038 0.326 0.910
Rb: 0.084 0.712 0.674
Rb: 0.084 0.872 0.410
Rb: 0.090 0.628 0.416
Rb: 0.090 0.962 0.674
Rb: 0.128 0.038 0.212
Rb: 0.128 0.590 0.916
Rb: 0.174 0.212 0.584
Rb: 0.174 0.462 0.590
Rb: 0.212 0.128 0.038
Rb: 0.212 0.584 0.174
Rb: 0.288 0.326 0.916
Rb: 0.288 0.462 0.372
Rb: 0.326 0.910 0.038
Rb: 0.326 0.916 0.288
Rb: 0.372 0.288 0.462
Rb: 0.372 0.584 0.910
Rb: 0.410 0.084 0.872
Rb: 0.410 0.826 0.538
Rb: 0.416 0.090 0.628
Rb: 0.416 0.826 0.788
Rb: 0.462 0.372 0.288
Rb: 0.462 0.590 0.174
Rb: 0.538 0.410 0.826
Rb: 0.538 0.628 0.712
Rb: 0.584 0.174 0.212
Rb: 0.584 0.910 0.372
Rb: 0.590 0.174 0.462
Rb: 0.590 0.916 0.128
Rb: 0.628 0.416 0.090
Rb: 0.628 0.712 0.538
Rb: 0.674 0.084 0.712
Rb: 0.674 0.090 0.962
Rb: 0.712 0.538 0.628
Rb: 0.712 0.674 0.084
Rb: 0.788 0.416 0.826
Rb: 0.788 0.872 0.962
Rb: 0.826 0.538 0.410
Rb: 0.826 0.788 0.416
Rb: 0.872 0.410 0.084
Rb: 0.872 0.962 0.788
Rb: 0.910 0.038 0.326
Rb: 0.910 0.372 0.584
Rb: 0.916 0.128 0.590
Rb: 0.916 0.288 0.326
Rb: 0.962 0.674 0.090
Rb: 0.962 0.788 0.872
Pb: 0.125 0.250 0.375
Pb: 0.125 0.375 0.750
Pb: 0.250 0.375 0.125
Pb: 0.250 0.875 0.625
Pb: 0.375 0.125 0.250
Pb: 0.375 0.750 0.125
Pb: 0.625 0.250 0.875
Pb: 0.625 0.875 0.750
Pb: 0.750 0.125 0.375
Pb: 0.750 0.625 0.875
Pb: 0.875 0.625 0.250
Pb: 0.875 0.750 0.625
Cl: 0.000 0.000 0.000
Cl: 0.000 0.000 0.500
Cl: 0.000 0.500 0.000
Cl: 0.000 0.500 0.500
Cl: 0.125 0.750 0.875
Cl: 0.125 0.875 0.250
Cl: 0.250 0.125 0.875
Cl: 0.250 0.625 0.375
Cl: 0.375 0.250 0.625
Cl: 0.375 0.625 0.750
Cl: 0.500 0.000 0.000
Cl: 0.500 0.000 0.500
Cl: 0.500 0.500 0.000
Cl: 0.500 0.500 0.500
Cl: 0.625 0.375 0.250
Cl: 0.625 0.750 0.375
Cl: 0.750 0.375 0.625
Cl: 0.750 0.875 0.125
Cl: 0.875 0.125 0.750
Cl: 0.875 0.250 0.125

A plane-wave DFT calculation with GGA-PBE was carried out for a geometry-optimized Tb12Bi3O5 structure.

## Properties
The density of states at the Fermi level comes out at 0.669 states/eV per atom. The calculation puts the uncorrected formation energy at -1.62 eV/atom.

Unit cell a=13.676 b=13.676 c=13.676 alpha=109.47 beta=109.47 gamma=109.47
Positions (direct):
Tb: 0.004 0.193 0.104
Tb: 0.004 0.311 0.900
Tb: 0.089 0.693 0.689
Tb: 0.089 0.896 0.400
Tb: 0.100 0.604 0.411
Tb: 0.100 0.996 0.689
Tb: 0.104 0.004 0.193
Tb: 0.104 0.600 0.911
Tb: 0.189 0.193 0.589
Tb: 0.189 0.496 0.600
Tb: 0.193 0.104 0.004
Tb: 0.193 0.589 0.189
Tb: 0.307 0.311 0.911
Tb: 0.307 0.496 0.396
Tb: 0.311 0.900 0.004
Tb: 0.311 0.911 0.307
Tb: 0.396 0.307 0.496
Tb: 0.396 0.589 0.900
Tb: 0.400 0.089 0.896
Tb: 0.400 0.811 0.504
Tb: 0.411 0.100 0.604
Tb: 0.411 0.811 0.807
Tb: 0.496 0.396 0.307
Tb: 0.496 0.600 0.189
Tb: 0.504 0.400 0.811
Tb: 0.504 0.604 0.693
Tb: 0.589 0.189 0.193
Tb: 0.589 0.900 0.396
Tb: 0.600 0.189 0.496
Tb: 0.600 0.911 0.104
Tb: 0.604 0.411 0.100
Tb: 0.604 0.693 0.504
Tb: 0.689 0.089 0.693
Tb: 0.689 0.100 0.996
Tb: 0.693 0.504 0.604
Tb: 0.693 0.689 0.089
Tb: 0.807 0.411 0.811
Tb: 0.807 0.896 0.996
Tb: 0.811 0.504 0.400
Tb: 0.811 0.807 0.411
Tb: 0.896 0.400 0.089
Tb: 0.896 0.996 0.807
Tb: 0.900 0.004 0.311
Tb: 0.900 0.396 0.589
Tb: 0.911 0.104 0.600
Tb: 0.911 0.307 0.311
Tb: 0.996 0.689 0.100
Tb: 0.996 0.807 0.896
Bi: 0.125 0.250 0.375
Bi: 0.125 0.375 0.750
Bi: 0.250 0.375 0.125
Bi: 0.250 0.875 0.625
Bi: 0.375 0.125 0.250
Bi: 0.375 0.750 0.125
Bi: 0.625 0.250 0.875
Bi: 0.625 0.875 0.750
Bi: 0.750 0.125 0.375
Bi: 0.750 0.625 0.875
Bi: 0.875 0.625 0.250
Bi: 0.875 0.750 0.625
O: 0.000 0.000 0.000
O: 0.000 0.000 0.500
O: 0.000 0.500 0.000
O: 0.000 0.500 0.500
O: 0.125 0.750 0.875
O: 0.125 0.875 0.250
O: 0.250 0.125 0.875
O: 0.250 0.625 0.375
O: 0.375 0.250 0.625
O: 0.375 0.625 0.750
O: 0.500 0.000 0.000
O: 0.500 0.000 0.500
O: 0.500 0.500 0.000
O: 0.500 0.500 0.500
O: 0.625 0.375 0.250
O: 0.625 0.750 0.375
O: 0.750 0.375 0.625
O: 0.750 0.875 0.125
O: 0.875 0.125 0.750
O: 0.875 0.250 0.125

A plane-wave DFT calculation with GGA-PBE was carried out for a geometry-optimized Na2TeCl5 structure.

## Properties
The density of states at the Fermi level comes out at 0.174 states/eV per atom. The polymorph energy (0 for the lowest one) is 0 kJ/mol of formula units. The calculation puts the uncorrected formation energy at -1.14 eV/atom.

Unit cell a=7.230 b=7.230 c=12.914 alpha=90.00 beta=90.00 gamma=132.21
Positions (direct):
Na: 0.165 0.835 0.573
Na: 0.165 0.835 0.927
Na: 0.835 0.165 0.073
Na: 0.835 0.165 0.427
Te: 0.192 0.808 0.250
Te: 0.808 0.192 0.750
Cl: 0.054 0.946 0.115
Cl: 0.054 0.946 0.385
Cl: 0.287 0.713 0.750
Cl: 0.320 0.680 0.090
Cl: 0.320 0.680 0.410
Cl: 0.680 0.320 0.590
Cl: 0.680 0.320 0.910
Cl: 0.713 0.287 0.250
Cl: 0.946 0.054 0.615
Cl: 0.946 0.054 0.885

A plane-wave DFT calculation with GGA-PBE was carried out for a geometry-optimized TaFe2Ir structure.

## Properties
The density of states at the Fermi level comes out at 1.130 states/eV per atom. For the energy relative to the elements, the calculation gives -0.05 eV per atom. The polymorph energy (0 for the lowest one) is 87 kJ/mol of formula units.

Unit cell a=3.121 b=3.121 c=5.722 alpha=90.00 beta=90.00 gamma=90.00
Positions (direct):
Ta: 0.000 0.000 0.000
Fe: 0.500 0.500 0.248
Fe: 0.500 0.500 0.752
Ir: 0.000 0.000 0.500

A plane-wave DFT calculation with GGA-PBE was carried out for a geometry-optimized Ba2CaTe structure.

## Properties
The density of states at the Fermi level comes out at 0.869 states/eV per atom. The calculation puts the uncorrected formation energy at -0.72 eV/atom.

Unit cell a=7.857 b=7.857 c=7.857 alpha=148.25 beta=133.40 gamma=57.50
Positions (direct):
Ba: 0.000 0.000 0.000
Ba: 0.689 0.189 0.500
Ca: 0.386 0.386 0.000
Te: 0.209 0.709 0.500

A plane-wave DFT calculation with GGA-PBE was carried out for a geometry-optimized Sm2Ho6Er3In structure.

## Properties
The density of states at the Fermi level comes out at 1.296 states/eV per atom. For the energy relative to the elements, the calculation gives -0.05 eV per atom.

Unit cell a=6.057 b=6.057 c=11.638 alpha=94.98 beta=94.98 gamma=120.03
Positions (direct):
Sm: 0.166 0.834 0.000
Sm: 0.834 0.166 0.000
Ho: 0.089 0.417 0.750
Ho: 0.255 0.255 0.251
Ho: 0.417 0.089 0.750
Ho: 0.583 0.911 0.250
Ho: 0.745 0.745 0.749
Ho: 0.911 0.583 0.250
Er: 0.000 0.000 0.500
Er: 0.333 0.667 0.500
Er: 0.667 0.333 0.500
In: 0.500 0.500 0.000

A plane-wave DFT calculation with GGA-PBE was carried out for a geometry-optimized NdTmPb structure.

## Properties
The density of states at the Fermi level comes out at 1.166 states/eV per atom. For the energy relative to the elements, the calculation gives -0.45 eV per atom.

Unit cell a=9.167 b=9.167 c=9.167 alpha=150.49 beta=150.49 gamma=42.22
Positions (direct):
Nd: 0.175 0.175 0.000
Nd: 0.825 0.825 0.000
Tm: 0.000 0.500 0.500
Tm: 0.500 0.000 0.500
Pb: 0.367 0.367 0.000
Pb: 0.633 0.633 0.000